This record from Alexandria via LeMat-Bulk describes a relaxed BeSiRh2 crystal. The functional is GGA-PBE.

Lattice parameters (Å, degrees): 2.9918 2.9918 5.5237 90.00 90.00 90.00
Atoms (fractional coordinates):
Be 0.0000 0.0000 0.0000
Si 0.5000 0.5000 0.7516
Rh 0.0000 0.0000 0.5412
Rh 0.5000 0.5000 0.1753

Properties
E above lowest polymorph in kJ/mol of formula units: 98.8
Magnetic moment in μB/cell: 0.00
Raw total energy in eV per atom: -6.528
N(E_F) in states/eV per cell: 2.7
Energy relative to the elements, uncorrected in eV/atom: -0.56